Record 1
PBE Re3TcP, relaxed; formation energy = 22.99 kcal/mol of atoms; DOS(E_F) = 4.098 states/eV per cell; relative energy among the computed polymorphs = 0.0 meV per atom; ρ = 14.00 g cm⁻³; symmetry = Pm-3m, No. 221; total DFT energy (no corrections) = -9.627 eV/atom
1.0
4.3365 0.0000 0.0000
0.0000 4.3365 0.0000
0.0000 0.0000 4.3365
Re Tc P
3 1 1
Cartesian
0.0000 0.0000 2.1683
0.0000 2.1683 0.0000
2.1683 0.0000 0.0000
2.1683 2.1683 2.1683
0.0000 0.0000 0.0000

---

Record 2
PBE MnBe2SI, relaxed; DOS(E_F) = 3.002 states/eV per cell; ρ = 4.20 g cm⁻³; symmetry = P4/mmm, No. 123; total DFT energy (no corrections) = -3.849 eV/atom; formation energy without anion corrections = 611 meV/atom
1.0
4.7727 0.0000 0.0000
0.0000 4.7727 0.0000
0.0000 0.0000 4.0262
Mn Be S I
1 2 1 1
Cartesian
0.0000 0.0000 0.0000
0.0000 2.3864 0.0000
2.3864 0.0000 0.0000
0.0000 0.0000 2.0131
2.3864 2.3864 2.0131

---

Record 3
PBE Ti12Si6Ge, relaxed; DOS(E_F) = 20.739 states/eV per cell; ρ = 4.30 g cm⁻³; symmetry = R-3, No. 148; total DFT energy (no corrections) = -7.259 eV/atom; formation energy without anion corrections = -317 meV/atom
1.0
5.8219 3.3613 2.6852
-5.8219 3.3613 2.6852
0.0000 -6.7225 2.6852
Ti Si Ge
12 6 1
Cartesian
-2.4008 0.5661 1.9148
-1.6663 -1.9231 3.2465
0.7101 -2.3622 1.9148
-2.4987 0.4815 4.8089
-0.8323 2.4047 3.2465
1.6907 1.7961 1.9147
-1.6907 -1.7961 6.1407
0.8323 -2.4047 4.8089
2.4987 -0.4815 3.2465
-0.7101 2.3622 6.1407
1.6663 1.9231 4.8089
2.4008 -0.5661 6.1407
-4.0463 -1.6090 4.6611
-0.6297 -4.3086 3.3943
-3.4165 2.6997 3.3943
3.4165 -2.6997 4.6611
0.6297 4.3087 4.6611
4.0463 1.6090 3.3943
0.0000 0.0000 4.0277